[1]
Density functional theory data (PBE) for an optimized crystal structure of ScPCl2.

## Properties
**Formation energy (no corrections)**: -92 kJ/mol of formula units
**VASP energy**: -4.097 eV per atom
**SG**: Cmmm, No. 65
**Distance to the lowest polymorph of the same formula**: 3.66 eV per formula unit
**Fermi-level density of states**: 2.2 states/eV/cell

The structure in POSCAR format:
```
ScPCl2
1.0
5.0364 -0.0030 0.0000
-1.5425 4.7944 0.0000
0.0000 0.0000 3.1805
P Cl Sc
1 2 1
direct
0.5000 0.0000 0.5000
0.5000 0.5000 0.0000
0.0000 0.0000 0.0000
0.0000 0.5000 0.5000
```

=====

[2]
Density functional theory data (PBE) for an optimized crystal structure of Sc4PCl6.

## Properties
**Formation energy (no corrections)**: -2037 kJ/mol of formula units
**VASP energy**: -5.721 eV per atom
**SG**: Pbam, No. 55
**Fermi-level density of states**: 5.9 states/eV/cell

The structure in POSCAR format:
```
Sc4PCl6
1.0
3.6874 0.0000 0.0000
0.0000 12.0961 0.0000
0.0000 0.0000 12.6050
Sc Cl P
8 12 2
direct
0.5000 0.1279 0.1536
0.0000 0.1120 0.9143
0.0000 0.3880 0.4143
0.5000 0.3721 0.6536
0.5000 0.6279 0.3464
0.5000 0.8721 0.8464
0.0000 0.6120 0.5857
0.0000 0.8880 0.0857
0.0000 0.2544 0.0744
0.5000 0.2377 0.8219
0.0000 0.0186 0.2543
0.0000 0.2456 0.5744
0.0000 0.5186 0.2457
0.0000 0.7544 0.4256
0.5000 0.2623 0.3219
0.0000 0.4814 0.7543
0.5000 0.7623 0.1781
0.0000 0.7456 0.9256
0.0000 0.9814 0.7457
0.5000 0.7377 0.6781
0.5000 0.5000 0.5000
0.5000 0.0000 0.0000
```

=====

[3]
Density functional theory data (PBE) for an optimized crystal structure of ScPCl2.

## Properties
**Formation energy (no corrections)**: -446 kJ/mol of formula units
**VASP energy**: -5.013 eV per atom
**SG**: Pm, No. 6
**Distance to the lowest polymorph of the same formula**: 0.00 eV per formula unit
**Fermi-level density of states**: 0.2 states/eV/cell

The structure in POSCAR format:
```
ScPCl2
1.0
-0.6086 -3.6749 -0.5426
1.7316 0.2157 -3.4031
8.1154 -1.3605 0.1116
Cl Sc P
2 1 1
direct
0.5000 0.1474 0.3149
0.0000 0.9647 0.9176
0.5000 0.9652 0.6176
0.0000 0.4226 0.6498
```

=====

[4]
Density functional theory data (PBE) for an optimized crystal structure of ScPCl2.

## Properties
**Formation energy (no corrections)**: -334 kJ/mol of formula units
**VASP energy**: -4.724 eV per atom
**SG**: Imm2, No. 44
**Distance to the lowest polymorph of the same formula**: 1.16 eV per formula unit
**Fermi-level density of states**: 1.2 states/eV/cell

The structure in POSCAR format:
```
ScPCl2
1.0
7.1639 0.1378 -0.0010
4.5937 5.4990 0.0010
-5.5269 -3.5524 2.8591
Sc P Cl
1 1 2
direct
0.2314 0.7314 0.5000
0.3707 0.3707 0.0000
0.0927 0.0927 0.0000
0.8053 0.3053 0.5000
```

=====

Listing spin magnetization for the structures above in their given order: 0.0000, 0.0000, 0.0000, 0.0000 μB/atom.